# YAg2Sb

A relaxed YAg2Sb crystal (PBE-GGA, the Alexandria database).

Structure (CIF):
```
data_YAg2Sb
_cell_length_a 4.309
_cell_length_b 4.309
_cell_length_c 4.896
_cell_angle_alpha 90.00
_cell_angle_beta 90.00
_cell_angle_gamma 90.00
_symmetry_space_group_name_H-M 'P 4/m m m'
_symmetry_Int_Tables_number 123
_symmetry_space_group_name_Hall '-P 4 2'
loop_
_atom_site_label
_atom_site_fract_x
_atom_site_fract_y
_atom_site_fract_z
Y1 0.000 0.000 0.000
Ag1 0.000 0.500 0.500
Sb1 0.500 0.500 0.000
```

Values from the calculation:
* total moment: 0.00 μB per cell
* crystal system: tetragonal
* electronic total energy: -4.502 eV/atom
* V: 22.73 Å³/atom

***

# LaHgIrN2

A relaxed LaHgIrN2 crystal (PBE-GGA, the Alexandria database).

Structure (CIF):
```
data_LaHgIrN2
_cell_length_a 4.294
_cell_length_b 4.294
_cell_length_c 5.229
_cell_angle_alpha 90.00
_cell_angle_beta 90.00
_cell_angle_gamma 90.00
_symmetry_space_group_name_H-M 'P 4/m m m'
_symmetry_Int_Tables_number 123
_symmetry_space_group_name_Hall '-P 4 2'
loop_
_atom_site_label
_atom_site_fract_x
_atom_site_fract_y
_atom_site_fract_z
La1 0.000 0.000 0.000
Hg1 0.500 0.500 0.500
Ir1 0.500 0.500 0.000
N1 0.000 0.500 0.500
```

Values from the calculation:
* total moment: 2.25 μB per cell
* crystal system: tetragonal
* electronic total energy: -4.814 eV/atom
* V: 19.28 Å³/atom

***

E_form (uncorrected) list, top to bottom, in eV/f.u.: -1.72, 6.67